[1]
Pu2FeH (GGA-PBE, optimized geometry); total energy = -10.1047 eV/atom; DOS(E_F) = 7.830 states/eV/cell; E above lowest polymorph = 0 kJ/mol of formula units; SG = P4/mmm
1.0
3.1046 0.0000 0.0000
0.0000 3.1046 0.0000
0.0000 0.0000 6.7640
Pu Fe H
2 1 1
direct
0.0000 0.0000 0.2364
0.0000 0.0000 0.7636
0.5000 0.5000 0.5000
0.5000 0.5000 0.0000

[2]
Pu2FeH8 (GGA-PBE, optimized geometry); total energy = -5.9995 eV/atom; DOS(E_F) = 17.498 states/eV/cell; SG = Immm
1.0
-1.8229 2.2613 5.3803
1.8229 -2.2613 5.3803
1.8229 2.2613 -5.3803
Pu Fe H
2 1 8
direct
0.1643 0.1643 0.0000
0.8357 0.8357 0.0000
0.5000 0.5000 0.0000
0.1530 0.3754 0.7777
0.2784 0.7784 0.5000
0.2999 0.0000 0.2999
0.4023 0.6246 0.7777
0.5977 0.3754 0.2223
0.7001 0.0000 0.7001
0.7216 0.2216 0.5000
0.8470 0.6246 0.2223

[3]
PuFeH3 (GGA-PBE, optimized geometry); total energy = -6.7745 eV/atom; DOS(E_F) = 16.961 states/eV/cell; SG = P2_1/m
1.0
4.3636 0.0000 0.0000
0.0000 3.7654 0.0000
-1.6612 0.0000 5.9243
Pu Fe H
2 2 6
direct
0.1388 0.2500 0.2844
0.8612 0.7500 0.7156
0.4074 0.2500 0.8549
0.5926 0.7500 0.1451
0.0424 0.2500 0.8998
0.4166 0.7500 0.8557
0.4720 0.7500 0.3760
0.5280 0.2500 0.6240
0.5834 0.2500 0.1443
0.9576 0.7500 0.1002

[4]
Pu3Fe5H12 (GGA-PBE, optimized geometry); total energy = -6.2646 eV/atom; DOS(E_F) = 135.112 states/eV/cell; SG = Ia-3d
1.0
-5.5621 5.5621 5.5621
5.5621 -5.5621 5.5621
5.5621 5.5621 -5.5621
Pu Fe H
12 20 48
direct
0.1250 0.2500 0.3750
0.1250 0.3750 0.7500
0.2500 0.3750 0.1250
0.2500 0.8750 0.6250
0.3750 0.1250 0.2500
0.3750 0.7500 0.1250
0.6250 0.2500 0.8750
0.6250 0.8750 0.7500
0.7500 0.1250 0.3750
0.7500 0.6250 0.8750
0.8750 0.6250 0.2500
0.8750 0.7500 0.6250
0.0000 0.0000 0.0000
0.0000 0.0000 0.5000
0.0000 0.5000 0.0000
0.0000 0.5000 0.5000
0.1250 0.7500 0.8750
0.1250 0.8750 0.2500
0.2500 0.1250 0.8750
0.2500 0.6250 0.3750
0.3750 0.2500 0.6250
0.3750 0.6250 0.7500
0.5000 0.0000 0.0000
0.5000 0.0000 0.5000
0.5000 0.5000 0.0000
0.5000 0.5000 0.5000
0.6250 0.3750 0.2500
0.6250 0.7500 0.3750
0.7500 0.3750 0.6250
0.7500 0.8750 0.1250
0.8750 0.1250 0.7500
0.8750 0.2500 0.1250
0.0142 0.1886 0.0995
0.0142 0.3257 0.9147
0.0853 0.5995 0.4109
0.0853 0.9858 0.6743
0.0891 0.6886 0.6743
0.0891 0.9005 0.4147
0.0995 0.0142 0.1886
0.0995 0.5853 0.9109
0.1743 0.1886 0.5891
0.1743 0.4858 0.5853
0.1886 0.0995 0.0142
0.1886 0.5891 0.1743
0.3114 0.3257 0.9109
0.3114 0.4858 0.4005
0.3257 0.9109 0.3114
0.3257 0.9147 0.0142
0.4005 0.3114 0.4858
0.4005 0.5891 0.9147
0.4109 0.0853 0.5995
0.4109 0.8257 0.8114
0.4147 0.0891 0.9005
0.4147 0.8257 0.5142
0.4858 0.4005 0.3114
0.4858 0.5853 0.1743
0.5142 0.4147 0.8257
0.5142 0.5995 0.6886
0.5853 0.1743 0.4858
0.5853 0.9109 0.0995
0.5891 0.1743 0.1886
0.5891 0.9147 0.4005
0.5995 0.4109 0.0853
0.5995 0.6886 0.5142
0.6743 0.0853 0.9858
0.6743 0.0891 0.6886
0.6886 0.5142 0.5995
0.6886 0.6743 0.0891
0.8114 0.4109 0.8257
0.8114 0.9005 0.9858
0.8257 0.5142 0.4147
0.8257 0.8114 0.4109
0.9005 0.4147 0.0891
0.9005 0.9858 0.8114
0.9109 0.0995 0.5853
0.9109 0.3114 0.3257
0.9147 0.0142 0.3257
0.9147 0.4005 0.5891
0.9858 0.6743 0.0853
0.9858 0.8114 0.9005

[5]
Pu2FeH (GGA-PBE, optimized geometry); total energy = -9.8452 eV/atom; DOS(E_F) = 9.242 states/eV/cell; E above lowest polymorph = 100 kJ/mol of formula units; SG = R-3m
1.0
1.4428 0.8330 8.3548
-1.4428 0.8330 8.3548
0.0000 -1.6660 8.3548
Pu Fe H
2 1 1
direct
0.2342 0.2342 0.2342
0.7658 0.7658 0.7658
0.0000 0.0000 0.0000
0.5000 0.5000 0.5000

[6]
Pu2FeH5 (GGA-PBE, optimized geometry); total energy = -7.0156 eV/atom; DOS(E_F) = 15.020 states/eV/cell; SG = I4mm
1.0
-2.4179 2.4179 3.5877
2.4179 -2.4179 3.5877
2.4179 2.4179 -3.5877
Pu Fe H
2 1 5
direct
0.0000 0.5000 0.5000
0.5000 0.0000 0.5000
0.2476 0.2476 0.0000
0.0037 0.0037 0.5208
0.0037 0.4828 0.0000
0.4828 0.0037 0.0000
0.4828 0.4828 0.4792
0.4873 0.4873 0.0000

[7]
PuFeH6 (GGA-PBE, optimized geometry); total energy = -5.4711 eV/atom; DOS(E_F) = 7.445 states/eV/cell; SG = R-3m
1.0
3.0204 1.7439 1.9310
-3.0204 1.7439 1.9310
0.0000 -3.4877 1.9310
Pu Fe H
1 1 6
direct
0.0000 0.0000 0.0000
0.5000 0.5000 0.5000
0.2093 0.2093 0.5657
0.2093 0.5657 0.2093
0.4343 0.7907 0.7907
0.5657 0.2093 0.2093
0.7907 0.4343 0.7907
0.7907 0.7907 0.4343

[8]
PuFeH3 (GGA-PBE, optimized geometry); total energy = -6.7522 eV/atom; DOS(E_F) = 10.069 states/eV/cell; SG = Pm-3m
1.0
3.5382 0.0000 0.0000
0.0000 3.5382 0.0000
0.0000 0.0000 3.5382
Pu Fe H
1 1 3
direct
0.0000 0.0000 0.0000
0.5000 0.5000 0.5000
0.0000 0.5000 0.5000
0.5000 0.0000 0.5000
0.5000 0.5000 0.0000

[9]
Rb2FeH6 (GGA-PBE, optimized geometry); total energy = -3.4021 eV/atom; DOS(E_F) = 4.044 states/eV/cell; SG = Cmmm
1.0
3.2217 -5.0129 0.0000
3.2217 5.0129 0.0000
0.0000 0.0000 3.3351
Rb Fe H
2 1 6
direct
0.1809 0.8191 0.0000
0.8191 0.1809 0.0000
0.5000 0.5000 0.5000
0.2144 0.4455 0.5000
0.4140 0.4140 0.0000
0.4455 0.2144 0.5000
0.5545 0.7856 0.5000
0.5860 0.5860 0.0000
0.7856 0.5545 0.5000

[10]
RbFe2H8 (GGA-PBE, optimized geometry); total energy = -4.0694 eV/atom; DOS(E_F) = 3.210 states/eV/cell; SG = Amm2
1.0
5.7971 0.0000 0.0000
0.0000 3.8204 2.2518
0.0000 -3.8204 2.2518
Rb Fe H
1 2 8
direct
0.0000 0.0000 0.0000
0.5000 0.2560 0.6168
0.5000 0.6168 0.2560
0.3146 0.5052 0.9270
0.3146 0.9270 0.5052
0.3338 0.4631 0.4631
0.5000 0.1967 0.9505
0.5000 0.9505 0.1967
0.6662 0.4631 0.4631
0.6854 0.5052 0.9270
0.6854 0.9270 0.5052

[11]
Rb2Fe2H (GGA-PBE, optimized geometry); total energy = -3.9140 eV/atom; DOS(E_F) = 2.407 states/eV/cell; E above lowest polymorph = 0 kJ/mol of formula units; SG = I4/mmm
1.0
-1.7039 1.7039 9.9545
1.7039 -1.7039 9.9545
1.7039 1.7039 -9.9545
Rb Fe H
2 2 1
direct
0.0890 0.0890 0.0000
0.9110 0.9110 0.0000
0.2500 0.7500 0.5000
0.7500 0.2500 0.5000
0.5000 0.5000 0.0000

[12]
Rb2Fe2H (GGA-PBE, optimized geometry); total energy = -3.2115 eV/atom; DOS(E_F) = 8.253 states/eV/cell; E above lowest polymorph = 339 kJ/mol of formula units; SG = P4/mbm
1.0
9.6819 0.0000 0.0000
0.0000 9.6819 0.0000
0.0000 0.0000 3.7262
Rb Fe H
4 4 2
direct
0.2087 0.2913 0.0000
0.2913 0.7913 0.0000
0.7087 0.2087 0.0000
0.7913 0.7087 0.0000
0.0758 0.5758 0.5000
0.4242 0.0758 0.5000
0.5758 0.9242 0.5000
0.9242 0.4242 0.5000
0.0000 0.0000 0.0000
0.5000 0.5000 0.0000

[13]
Rb2FeTeH (GGA-PBE, optimized geometry); total energy = -3.5172 eV/atom; DOS(E_F) = 3.589 states/eV/cell; E above lowest polymorph = 13 kJ/mol of formula units; SG = Cm
1.0
5.5283 -3.2884 0.0000
5.5283 3.2884 0.0000
-0.0422 0.0000 4.7050
Rb Fe Te H
2 1 1 1
direct
0.0000 0.0000 0.0000
0.6336 0.6336 0.5098
0.3679 0.3679 0.0047
0.2667 0.2667 0.5025
0.5182 0.5182 0.0077

[14]
Rb2FeTeH (GGA-PBE, optimized geometry); total energy = -3.4768 eV/atom; DOS(E_F) = 3.734 states/eV/cell; E above lowest polymorph = 33 kJ/mol of formula units; SG = Cm
1.0
6.5551 -2.2405 0.0000
6.5551 2.2405 0.0000
-6.4981 0.0000 7.2584
Rb Fe Te H
2 1 1 1
direct
0.0000 0.0000 0.0000
0.5196 0.5196 0.5482
0.2262 0.2262 0.9616
0.8095 0.8095 0.1453
0.0730 0.0730 0.7502

[15]
Rb2FeTeH (GGA-PBE, optimized geometry); total energy = -3.5405 eV/atom; DOS(E_F) = 3.707 states/eV/cell; E above lowest polymorph = 2 kJ/mol of formula units; SG = Imm2
1.0
-2.2207 4.7718 4.5762
2.2207 -4.7718 4.5762
2.2207 4.7718 -4.5762
Rb Fe Te H
2 1 1 1
direct
0.2228 0.0000 0.2228
0.7772 0.0000 0.7772
0.2008 0.7008 0.5000
0.3500 0.3500 0.0000
0.0175 0.5175 0.5000

[16]
Rb2FeTeH (GGA-PBE, optimized geometry); total energy = -3.5425 eV/atom; DOS(E_F) = 3.646 states/eV/cell; E above lowest polymorph = 1 kJ/mol of formula units; SG = Imm2
1.0
-2.2145 5.1705 3.5420
2.2145 -5.1705 3.5420
2.2145 5.1705 -3.5420
Rb Fe Te H
2 1 1 1
direct
0.1828 0.0000 0.1828
0.8172 0.0000 0.8172
0.6873 0.1873 0.5000
0.4917 0.4917 0.0000
0.9227 0.4227 0.5000

[17]
Rb2FeTeH (GGA-PBE, optimized geometry); total energy = -3.5446 eV/atom; DOS(E_F) = 2.793 states/eV/cell; E above lowest polymorph = 0 kJ/mol of formula units; SG = Cm
1.0
6.8674 -2.1357 0.0000
6.8674 2.1357 0.0000
-2.3149 0.0000 5.2484
Rb Fe Te H
2 1 1 1
direct
0.0000 0.0000 0.0000
0.1975 0.1975 0.7042
0.7887 0.7887 0.2789
0.4081 0.4081 0.4118
0.6582 0.6582 0.1133

[18]
FeRe2H2 (GGA-PBE, optimized geometry); total energy = -7.7110 eV/atom; DOS(E_F) = 2.764 states/eV/cell; SG = I4/mmm
1.0
-1.4701 1.4701 5.4387
1.4701 -1.4701 5.4387
1.4701 1.4701 -5.4387
Fe Re H
1 2 2
direct
0.0000 0.0000 0.0000
0.3605 0.3605 0.0000
0.6395 0.6395 0.0000
0.2500 0.7500 0.5000
0.7500 0.2500 0.5000

[19]
Fe3ReH (GGA-PBE, optimized geometry); total energy = -6.1837 eV/atom; DOS(E_F) = 6.001 states/eV/cell; E above lowest polymorph = 973 kJ/mol of formula units; SG = Pm-3m
1.0
4.5283 0.0000 0.0000
0.0000 4.5283 0.0000
0.0000 0.0000 4.5283
Fe Re H
3 1 1
direct
0.0000 0.0000 0.5000
0.0000 0.5000 0.0000
0.5000 0.0000 0.0000
0.0000 0.0000 0.0000
0.5000 0.5000 0.5000

[20]
Fe2ReH2 (GGA-PBE, optimized geometry); total energy = -6.8753 eV/atom; DOS(E_F) = 8.153 states/eV/cell; E above lowest polymorph = 36 kJ/mol of formula units; SG = P4/mbm
1.0
5.6509 0.0000 0.0000
0.0000 5.6509 0.0000
0.0000 0.0000 2.6882
Fe Re H
4 2 4
direct
0.1383 0.3617 0.0000
0.3617 0.8617 0.0000
0.6383 0.1383 0.0000
0.8617 0.6383 0.0000
0.0000 0.0000 0.5000
0.5000 0.5000 0.5000
0.2227 0.7227 0.5000
0.2773 0.2227 0.5000
0.7227 0.7773 0.5000
0.7773 0.2773 0.5000